# 1
16
Lattice="4.082 2.357 6.791 -4.082 2.357 6.791 0.000 -4.714 6.791" Properties=species:S:1:pos:R:3 comment="PBE-GGA Ca4Er3TmSe8, relaxed" final_energy_ev_per_cell=-83.6 space_group=R-3m pbc="T T T"
Ca 0.000 0.000 0.000
Ca -2.041 -1.178 6.791
Ca -2.041 1.178 13.581
Ca 0.000 2.357 6.791
Er -4.082 0.000 10.186
Er -2.041 1.178 3.395
Er 2.041 1.178 3.395
Tm 0.000 0.000 10.186
Se 0.000 0.000 5.043
Se -2.035 -1.175 11.829
Se 0.000 -2.350 8.543
Se -2.035 1.175 8.543
Se 2.035 -1.175 11.829
Se 0.000 2.350 11.829
Se 2.035 1.175 8.543
Se 0.000 0.000 15.329

# 2
8
Lattice="7.030 0.000 0.000 0.000 4.045 0.000 -2.311 0.000 6.643" Properties=species:S:1:pos:R:3 comment="PBE-GGA CaErTm2Se4, relaxed" final_energy_ev_per_cell=-43.4 space_group=P2/m pbc="T T T"
Ca 0.000 0.000 0.000
Er -1.156 2.022 3.322
Tm 2.360 0.000 3.322
Tm 3.515 2.022 0.000
Se 0.048 0.000 4.979
Se 1.209 2.022 1.689
Se 3.510 2.022 4.955
Se 4.671 0.000 1.664

# 3
12
Lattice="3.557 -6.153 0.000 3.557 6.153 0.000 -2.375 0.000 6.824" Properties=species:S:1:pos:R:3 comment="PBE-GGA Ca3Y2ErSe6, relaxed" final_energy_ev_per_cell=-66.9 space_group=C2/m pbc="T T T"
Ca 0.000 0.000 0.000
Ca 3.557 2.062 0.000
Ca 3.557 -2.062 0.000
Y 2.369 4.106 3.412
Y 2.369 -4.106 3.412
Er 2.369 0.000 3.412
Se 1.196 2.034 1.741
Se 0.019 0.000 5.087
Se 1.196 -2.034 1.741
Se 3.543 2.034 5.083
Se 4.720 0.000 1.738
Se 3.543 -2.034 5.083

# 4
12
Lattice="8.890 -2.032 0.000 8.890 2.032 0.000 -1.906 0.000 7.965" Properties=species:S:1:pos:R:3 comment="PBE-GGA CaY2Er3Se6, relaxed" final_energy_ev_per_cell=-70.8 space_group=C2/m pbc="T T T"
Ca 0.000 0.000 0.000
Y 4.593 0.000 5.241
Y 11.280 0.000 2.724
Er -0.953 0.000 3.982
Er 5.579 0.000 1.374
Er 10.295 0.000 6.591
Se 1.788 0.000 4.662
Se 2.824 0.000 0.633
Se 8.412 0.000 2.019
Se 7.462 0.000 5.945
Se 13.049 0.000 7.331
Se 14.085 0.000 3.303

# 5
16
Lattice="4.104 2.370 6.834 -4.104 2.370 6.834 0.000 -4.739 6.834" Properties=species:S:1:pos:R:3 comment="PBE-GGA Ca4Y3ErSe8, relaxed" final_energy_ev_per_cell=-89.9 space_group=R-3m pbc="T T T"
Ca 0.000 0.000 0.000
Ca -2.052 -1.185 6.834
Ca -2.052 1.185 13.668
Ca 0.000 2.370 6.834
Y -4.104 0.000 10.251
Y -2.052 1.185 3.417
Y 2.052 1.185 3.417
Er 0.000 0.000 10.251
Se 0.000 0.000 5.102
Se -2.038 -1.176 11.924
Se 0.000 -2.353 8.578
Se -2.038 1.176 8.578
Se 2.038 -1.176 11.924
Se 0.000 2.353 11.924
Se 2.038 1.176 8.578
Se 0.000 0.000 15.400

# 6
14
Lattice="4.229 2.442 6.892 -4.229 2.442 6.892 0.000 -4.883 6.892" Properties=species:S:1:pos:R:3 comment="PBE-GGA CaY4ErSe8, relaxed" final_energy_ev_per_cell=-85.6 space_group=R3m pbc="T T T"
Ca 0.000 0.000 0.000
Y -2.149 -1.241 9.460
Y 0.000 0.000 5.159
Y 2.149 -1.241 9.460
Y 0.000 2.482 9.460
Er 0.000 0.000 12.967
Se 0.000 0.000 7.909
Se 0.000 -2.272 11.160
Se -1.967 1.136 11.160
Se -1.939 -1.120 14.692
Se 1.967 1.136 11.160
Se 1.939 -1.120 14.692
Se 0.000 2.239 14.692
Se 0.000 0.000 17.888

# 7
8
Lattice="7.098 0.000 0.000 0.000 4.101 0.000 -2.371 0.000 6.822" Properties=species:S:1:pos:R:3 comment="PBE-GGA Ca2YErSe4, relaxed" final_energy_ev_per_cell=-43.9 space_group=P2/m pbc="T T T"
Ca 0.000 0.000 0.000
Ca 3.549 2.050 0.000
Y -1.185 2.050 3.411
Er 2.364 0.000 3.411
Se 0.014 0.000 5.084
Se 1.196 2.050 1.749
Se 3.531 2.050 5.073
Se 4.713 0.000 1.738

# 8
10
Lattice="2.158 -12.329 0.000 2.158 12.329 0.000 0.000 0.000 3.881" Properties=species:S:1:pos:R:3 comment="PBE-GGA CaErSi3, relaxed" final_energy_ev_per_cell=-51.0 space_group=Cmcm pbc="T T T"
Ca 2.158 10.537 2.911
Ca 2.158 -10.537 0.970
Er 2.158 7.313 0.970
Er 2.158 -7.313 2.911
Si 2.158 4.433 0.970
Si 2.158 2.994 2.911
Si 2.158 0.629 2.911
Si 2.158 -0.629 0.970
Si 2.158 -2.994 0.970
Si 2.158 -4.433 2.911

# 9
8
Lattice="3.820 0.000 0.000 0.000 5.739 0.000 0.000 0.000 8.067" Properties=species:S:1:pos:R:3 comment="PBE-GGA CaErSi2, relaxed" final_energy_ev_per_cell=-39.9 space_group=Pmc2_1 pbc="T T T"
Ca 0.000 0.785 0.000
Ca 0.000 4.953 4.034
Er 1.910 2.068 2.890
Er 1.910 3.671 6.924
Si 0.000 2.203 5.171
Si 0.000 3.536 1.137
Si 1.910 0.778 5.755
Si 1.910 4.961 1.722

# 10
24
Lattice="7.327 0.000 0.000 0.000 16.341 0.000 0.000 0.000 4.184" Properties=species:S:1:pos:R:3 comment="PBE-GGA CaErSi4, relaxed" final_energy_ev_per_cell=-121.3 space_group=Pbam pbc="T T T"
Ca 0.891 2.739 0.000
Ca 2.772 10.909 0.000
Ca 4.555 5.431 0.000
Ca 6.435 13.602 0.000
Er 0.958 6.740 0.000
Er 2.705 14.910 0.000
Er 4.622 1.430 0.000
Er 6.369 9.601 0.000
Si 0.313 11.194 2.092
Si 0.716 15.375 2.092
Si 1.071 8.826 2.092
Si 1.611 13.130 2.092
Si 2.052 4.960 2.092
Si 2.593 0.656 2.092
Si 2.947 7.205 2.092
Si 3.351 3.024 2.092
Si 3.976 13.317 2.092
Si 4.380 9.136 2.092
Si 4.734 15.685 2.092
Si 5.274 11.381 2.092
Si 5.716 3.211 2.092
Si 6.256 7.514 2.092
Si 6.611 0.965 2.092
Si 7.014 5.147 2.092

# 11
4
Lattice="0.000 3.539 3.539 3.539 0.000 3.539 3.539 3.539 0.000" Properties=species:S:1:pos:R:3 comment="PBE-GGA CaErZnSi, relaxed" final_energy_ev_per_cell=-14.7 space_group=F-43m pbc="T T T"
Ca 0.000 0.000 0.000
Er 3.539 3.539 3.539
Zn 1.770 1.770 1.770
Si 5.309 5.309 5.309

# 12
14
Lattice="-4.844 4.844 5.136 4.844 -4.844 5.136 4.844 4.844 -5.136" Properties=species:S:1:pos:R:3 comment="PBE-GGA CaSm8Er5, relaxed" final_energy_ev_per_cell=-59.2 space_group=I-4 e_form_ev_per_atom=0.243 pbc="T T T"
Ca 0.000 0.000 0.000
Sm 3.192 0.902 0.025
Sm 3.153 4.162 -1.547
Sm 3.942 -1.652 5.111
Sm 1.690 0.682 3.589
Sm 5.526 3.153 1.547
Sm 0.902 6.495 -0.025
Sm -0.682 1.690 6.683
Sm 1.652 3.942 5.161
Er 5.919 1.973 -1.814
Er 4.844 0.000 2.568
Er 1.973 3.769 1.814
Er -1.075 2.871 3.322
Er 2.871 1.075 6.949

# 13
8
Lattice="-2.578 2.578 10.519 2.578 -2.578 10.519 2.578 2.578 -10.519" Properties=species:S:1:pos:R:3 comment="PBE-GGA Ca2Sm5Er, relaxed" final_energy_ev_per_cell=-31.7 space_group=I4/mmm e_form_ev_per_atom=0.053 pbc="T T T"
Ca 0.000 0.000 5.252
Ca 0.000 0.000 15.785
Sm 0.000 0.000 0.000
Sm 2.578 0.000 2.457
Sm 2.578 0.000 8.062
Sm 0.000 2.578 2.457
Sm 0.000 2.578 8.062
Er 0.000 0.000 10.519

# 14
15
Lattice="9.895 0.000 0.000 -4.948 8.570 0.000 0.000 0.000 6.080" Properties=species:S:1:pos:R:3 comment="PBE-GGA CaSm6Er8, relaxed" final_energy_ev_per_cell=-63.4 space_group=P-3 e_form_ev_per_atom=0.226 pbc="T T T"
Ca 0.000 0.000 0.000
Sm -0.834 3.814 5.767
Sm -1.227 7.385 5.767
Sm 2.886 2.629 0.312
Sm 2.062 5.940 5.767
Sm 6.175 1.185 0.312
Sm 5.782 4.756 0.312
Er -3.162 5.840 3.402
Er 1.471 2.912 3.402
Er 0.000 5.713 2.623
Er 3.257 0.182 2.677
Er 1.691 8.388 3.402
Er 4.948 2.857 3.457
Er 3.477 5.658 2.677
Er 8.109 2.730 2.677

# 15
4
Lattice="0.000 4.144 4.144 4.144 0.000 4.144 4.144 4.144 0.000" Properties=species:S:1:pos:R:3 comment="PBE-GGA Ca2SmEr, relaxed" final_energy_ev_per_cell=-12.6 space_group=Fm-3m polymorph_energy_mev_per_atom=49 e_form_ev_per_atom=0.173 pbc="T T T"
Ca 2.072 2.072 2.072
Ca 6.216 6.216 6.216
Sm 0.000 0.000 0.000
Er 4.144 4.144 4.144

# 16
4
Lattice="3.672 0.000 0.000 0.000 6.114 0.000 -0.021 0.000 6.337" Properties=species:S:1:pos:R:3 comment="PBE-GGA Ca2SmEr, relaxed" final_energy_ev_per_cell=-12.8 space_group=Pm polymorph_energy_mev_per_atom=0 e_form_ev_per_atom=0.124 pbc="T T T"
Ca 0.000 0.000 0.000
Ca 1.825 0.000 3.156
Sm -0.005 3.057 4.218
Er 1.843 3.057 1.050

# 17
18
Lattice="8.557 -4.940 0.000 8.557 4.940 0.000 0.000 0.000 7.049" Properties=species:S:1:pos:R:3 comment="PBE-GGA CaSm5Er3, relaxed" final_energy_ev_per_cell=-77.1 space_group=Cmcm e_form_ev_per_atom=0.080 pbc="T T T"
Ca 8.557 3.096 5.287
Ca 8.557 -3.096 1.762
Sm 5.422 1.784 5.287
Sm 8.557 3.417 1.762
Sm 5.921 1.471 1.762
Sm 5.921 -1.471 5.287
Sm 5.422 -1.784 1.762
Sm 11.692 1.784 5.287
Sm 11.193 1.471 1.762
Sm 11.193 -1.471 5.287
Sm 8.557 -3.417 5.287
Sm 11.692 -1.784 1.762
Er 2.868 0.000 0.000
Er 2.868 0.000 3.524
Er 8.557 0.000 0.000
Er 8.557 0.000 3.524
Er 14.246 0.000 0.000
Er 14.246 0.000 3.524

# 18
16
Lattice="11.652 0.000 0.000 0.000 3.692 6.379 0.000 -3.692 6.379" Properties=species:S:1:pos:R:3 comment="PBE-GGA CaSm14Er, relaxed" final_energy_ev_per_cell=-72.0 space_group=Amm2 e_form_ev_per_atom=0.041 pbc="T T T"
Ca 0.000 0.000 0.000
Sm 0.000 -1.840 9.556
Sm 0.000 1.840 9.556
Sm 2.874 0.000 8.515
Sm 2.924 -1.816 5.310
Sm 2.924 1.816 5.310
Sm 2.943 0.000 2.169
Sm 5.826 -1.848 3.194
Sm 5.826 0.000 0.012
Sm 5.826 1.848 3.194
Sm 5.826 0.000 6.394
Sm 8.708 0.000 2.169
Sm 8.727 -1.816 5.310
Sm 8.727 1.816 5.310
Sm 8.778 0.000 8.515
Er 0.000 0.000 6.388

# 19
10
Lattice="9.003 -3.414 0.000 9.003 3.414 0.000 -1.474 0.000 5.716" Properties=species:S:1:pos:R:3 comment="PBE-GGA CaSm3Er6, relaxed" final_energy_ev_per_cell=-41.0 space_group=C2/m e_form_ev_per_atom=0.256 pbc="T T T"
Ca 0.000 0.000 0.000
Sm 1.776 0.000 3.426
Sm 8.266 0.000 2.858
Sm 14.755 0.000 2.290
Er 4.626 1.627 5.150
Er 5.050 0.000 2.276
Er 11.906 1.627 0.567
Er 4.626 -1.627 5.150
Er 11.481 0.000 3.441
Er 11.906 -1.627 0.567

# 20
19
Lattice="7.424 4.286 3.513 -7.424 4.286 3.513 0.000 -8.573 3.513" Properties=species:S:1:pos:R:3 comment="PBE-GGA CaSm6Er12, relaxed" final_energy_ev_per_cell=-76.5 space_group=R-3m e_form_ev_per_atom=0.449 pbc="T T T"
Ca 0.000 0.000 0.000
Sm -2.904 -1.677 5.867
Sm 0.000 -3.354 4.670
Sm -2.904 1.677 4.670
Sm 2.904 -1.677 5.867
Sm 0.000 3.354 5.867
Sm 2.904 1.677 4.670
Er -1.774 -1.024 2.712
Er -2.874 -4.978 5.269
Er -5.749 0.000 5.269
Er 1.774 -1.024 2.712
Er 0.000 2.048 2.712
Er 2.874 -4.978 5.269
Er -2.874 4.978 5.269
Er 0.000 -2.048 7.825
Er -1.774 1.024 7.825
Er 5.749 0.000 5.269
Er 2.874 4.978 5.269
Er 1.774 1.024 7.825

# 21
8
Lattice="5.136 0.000 0.000 0.000 5.136 0.000 0.000 0.000 10.295" Properties=species:S:1:pos:R:3 comment="PBE-GGA CaSm6Er, relaxed" final_energy_ev_per_cell=-34.5 space_group=P4/mmm e_form_ev_per_atom=0.051 pbc="T T T"
Ca 0.000 0.000 0.000
Sm 0.000 2.568 2.654
Sm 0.000 2.568 7.641
Sm 2.568 0.000 2.654
Sm 2.568 0.000 7.641
Sm 2.568 2.568 0.000
Sm 2.568 2.568 5.148
Er 0.000 0.000 5.148